# La3Dy2Y3

A relaxed La3Dy2Y3 crystal (GGA-PBE, the Alexandria database).

Its density of states at the Fermi level is 1.79 states/eV per atom. As for the formation energy: 0.03 eV/atom. Its crystal system is orthorhombic. The energy above the most stable polymorph in this dataset comes out at 0.0 meV per atom.

The structure belongs to space group Immm (No. 71); the cell edges are 5.087, 5.170 and 20.643 Å and the angles 90.00°, 90.00° and 90.00°. The asymmetric unit holds La at (0.000, 0.000, 0.000), La at (0.000, 0.500, 0.126), Dy at (0.000, 0.000, 0.249), Y at (0.000, 0.000, 0.500) and Y at (0.000, 0.500, 0.372).